A geometry-optimized YZrSc structure. Source: Alexandria via LeMat-Bulk, functional PBE-GGA.

Values from the calculation:
Relative energy among the computed polymorphs, meV/atom: 537
Energy relative to the elements, eV/atom: 0.592
Symmetry: No. 166
Fermi-level density of states, states/eV/f.u.: 5.5

a b c (Å): 5.156 5.156 8.017
angles (deg): 71.24 71.24 60.00
Fractional positions:
Y 0.930 0.930 0.209
Y 0.070 0.070 0.791
Sc 0.650 0.650 0.051
Sc 0.350 0.350 0.949
Zr 0.205 0.205 0.385
Zr 0.795 0.795 0.615